Record 1
Here is crystalline CrPSCl2 at its relaxed geometry from the Alexandria database. Energies are from PBE-GGA.

```
data_CrPSCl2
_symmetry_space_group_name_H-M 'P 1'
_symmetry_Int_Tables_number 1
_cell_length_a 4.765
_cell_length_b 4.765
_cell_length_c 4.694
_cell_angle_alpha 90.00
_cell_angle_beta 90.00
_cell_angle_gamma 90.00
loop_
_symmetry_equiv_pos_as_xyz
'x,y,z'
loop_
_atom_site_label
_atom_site_type_symbol
_atom_site_fract_x
_atom_site_fract_y
_atom_site_fract_z
Cl1 Cl 0.000 0.500 0.000
Cl2 Cl 0.500 0.000 0.000
S1 S 0.000 0.000 0.500
Cr1 Cr 0.500 0.500 0.500
P1 P 0.000 0.000 0.000
```

## Properties
Spin magnetization in μB per cell: 4.8
N(E_F) in states/eV per cell: 5.0
Symmetry: P4/mmm
Formation energy from raw total energies in meV per atom: 285


Record 2
Here is crystalline TeW4 at its relaxed geometry from the Alexandria database. Energies are from PBE-GGA.

```
data_TeW4
_symmetry_space_group_name_H-M 'P 1'
_symmetry_Int_Tables_number 1
_cell_length_a 5.154
_cell_length_b 5.154
_cell_length_c 5.154
_cell_angle_alpha 109.47
_cell_angle_beta 109.47
_cell_angle_gamma 109.47
loop_
_symmetry_equiv_pos_as_xyz
'x,y,z'
loop_
_atom_site_label
_atom_site_type_symbol
_atom_site_fract_x
_atom_site_fract_y
_atom_site_fract_z
W1 W 0.000 0.500 0.000
W2 W 0.500 0.000 0.000
Te1 Te 0.000 0.000 0.000
W3 W 0.500 0.500 0.500
W4 W 0.000 0.000 0.500
```

## Properties
Spin magnetization in μB per cell: 0.0
N(E_F) in states/eV per cell: 6.3
Symmetry: Im-3m
Formation energy from raw total energies in meV per atom: 2137


Record 3
Here is crystalline PuBPt6 at its relaxed geometry from the Alexandria database. Energies are from PBE-GGA.

```
data_PuBPt6
_symmetry_space_group_name_H-M 'P 1'
_symmetry_Int_Tables_number 1
_cell_length_a 5.564
_cell_length_b 5.564
_cell_length_c 6.135
_cell_angle_alpha 63.03
_cell_angle_beta 63.03
_cell_angle_gamma 60.00
loop_
_symmetry_equiv_pos_as_xyz
'x,y,z'
loop_
_atom_site_label
_atom_site_type_symbol
_atom_site_fract_x
_atom_site_fract_y
_atom_site_fract_z
Pt1 Pt 0.574 0.092 0.242
Pt2 Pt 0.092 0.092 0.242
Pt3 Pt 0.908 0.426 0.758
B1 B 0.000 0.000 0.000
Pt4 Pt 0.426 0.908 0.758
Pt5 Pt 0.092 0.574 0.242
Pu1 Pu 0.500 0.500 0.500
Pt6 Pt 0.908 0.908 0.758
```

## Properties
Formation energy in kJ/mol of atoms: -39.7
Spin magnetization in μB per cell: 4.4
N(E_F) in states/eV per cell: 12.5
Symmetry: R-3m


Record 4
Here is crystalline MgTa2Si at its relaxed geometry from the Alexandria database. Energies are from PBE-GGA.

```
data_MgTa2Si
_symmetry_space_group_name_H-M 'P 1'
_symmetry_Int_Tables_number 1
_cell_length_a 4.131
_cell_length_b 2.903
_cell_length_c 6.072
_cell_angle_alpha 69.08
_cell_angle_beta 90.00
_cell_angle_gamma 90.00
loop_
_symmetry_equiv_pos_as_xyz
'x,y,z'
loop_
_atom_site_label
_atom_site_type_symbol
_atom_site_fract_x
_atom_site_fract_y
_atom_site_fract_z
Ta1 Ta 0.000 0.960 0.985
Mg1 Mg 0.500 0.250 0.250
Si1 Si 0.500 0.750 0.750
Ta2 Ta 0.000 0.540 0.515
```

## Properties
Spin magnetization in μB per cell: 0.0
N(E_F) in states/eV per cell: 1.8
Symmetry: P2/m
Formation energy from raw total energies in meV per atom: 49


In Å³ per atom, the calculated volume values for the records above are, in order, 21.32; 21.08; 17.52; 17.01.